Computed, not measured: a relaxed structure of Mg2TePt at the GGA-PBE level of DFT.

Cell and atoms, written as extended XYZ:
```
4
Lattice="5.1638 -0.0249 0.0000 1.5277 4.9327 0.0000 -3.3457 -2.4539 3.0740" Properties=species:S:1:pos:R:3 pbc="T T T"
Mg 0.0000 0.0000 0.0000
Mg 3.3457 2.4539 0.0000
Pt 0.7638 2.4663 1.5370
Te 2.5819 -0.0125 1.5370
```

Values from the calculation:
**Electronic total energy**: -14.0 eV per cell
**Uncorrected formation energy**: -1.661 eV per formula unit

Computed, not measured: a relaxed structure of MgTePt at the GGA-PBE level of DFT.

Cell and atoms, written as extended XYZ:
```
6
Lattice="-3.7809 -2.5552 0.6850 7.4135 -3.6420 3.5520 0.5394 0.3126 4.1478" Properties=species:S:1:pos:R:3 pbc="T T T"
Mg -0.7844 -2.5040 2.2901
Mg 5.3772 -2.8022 5.7531
Te 3.3669 -4.4867 4.0211
Te 1.6085 -1.4500 4.0205
Pt 2.6401 -2.8279 6.1112
Pt 6.5472 -4.1767 7.8252
```

Values from the calculation:
**Electronic total energy**: -24.5 eV per cell
**Uncorrected formation energy**: -1.470 eV per formula unit

Computed, not measured: a relaxed structure of Mg2TePt at the GGA-PBE level of DFT.

Cell and atoms, written as extended XYZ:
```
4
Lattice="-2.8451 2.1388 -0.8026 -1.2805 -0.6950 2.6871 2.1976 5.1031 5.8090" Properties=species:S:1:pos:R:3 pbc="T T T"
Mg -1.0870 -0.3776 2.8470
Mg 0.2651 1.8867 4.0881
Pt -1.1933 2.1714 1.7227
Te -0.7347 4.3755 5.9708
```

Values from the calculation:
**Electronic total energy**: -14.6 eV per cell
**Uncorrected formation energy**: -2.223 eV per formula unit

Computed, not measured: a relaxed structure of MgTePt at the GGA-PBE level of DFT.

Cell and atoms, written as extended XYZ:
```
6
Lattice="5.7550 -0.0002 -0.0004 -0.0007 5.9335 -0.0004 0.0004 -0.0002 4.0085" Properties=species:S:1:pos:R:3 pbc="T T T"
Mg 2.4376 5.7803 1.2206
Mg 5.3150 3.2533 1.2205
Te 5.3158 0.5501 3.2255
Te 2.4375 2.7361 1.2215
Pt 3.8048 4.3754 3.2251
Pt 1.0703 4.3754 3.2252
```

Values from the calculation:
**Electronic total energy**: -24.5 eV per cell
**Uncorrected formation energy**: -1.456 eV per formula unit

Computed, not measured: a relaxed structure of MgTePt at the GGA-PBE level of DFT.

Cell and atoms, written as extended XYZ:
```
3
Lattice="6.5663 -0.0376 0.0400 5.8135 3.0522 0.0352 0.7528 0.1863 3.0841" Properties=species:S:1:pos:R:3 pbc="T T T"
Mg 12.0650 2.9380 0.1566
Pt 4.8306 1.1782 2.0288
Te 8.6169 2.0993 1.0490
```

Values from the calculation:
**Electronic total energy**: -11.5 eV per cell
**Uncorrected formation energy**: -0.773 eV per formula unit

Computed, not measured: a relaxed structure of MgTePt2 at the GGA-PBE level of DFT.

Cell and atoms, written as extended XYZ:
```
4
Lattice="6.9495 -0.0098 -0.0212 -2.5028 3.7084 0.0133 1.9439 1.3107 2.8294" Properties=species:S:1:pos:R:3 pbc="T T T"
Mg 2.2233 1.8493 -0.0040
Pt 0.0000 0.0000 0.0000
Pt 4.4467 0.6504 1.4041
Te -0.2795 2.5095 1.4214
```

Values from the calculation:
**Electronic total energy**: -18.3 eV per cell
**Uncorrected formation energy**: -1.501 eV per formula unit
**Energy relative to the lowest polymorph listed for this composition**: 0.040 eV per atom

Computed, not measured: a relaxed structure of MgTePt at the GGA-PBE level of DFT.

Cell and atoms, written as extended XYZ:
```
6
Lattice="5.7387 -0.0178 0.0079 0.0087 6.9593 0.0015 0.5561 -2.1705 3.5477" Properties=species:S:1:pos:R:3 pbc="T T T"
Mg 2.6105 5.7759 1.2466
Mg 0.2082 3.5248 0.2874
Te 5.5211 -0.7578 2.0187
Te 2.5298 2.0649 1.4979
Pt 4.1635 3.9199 2.2829
Pt 1.1846 3.8921 2.9080
```

Values from the calculation:
**Electronic total energy**: -24.5 eV per cell
**Uncorrected formation energy**: -1.479 eV per formula unit

Computed, not measured: a relaxed structure of MgTePt at the GGA-PBE level of DFT.

Cell and atoms, written as extended XYZ:
```
3
Lattice="4.9820 -0.0070 -0.0067 2.0449 4.5430 0.0067 -3.5106 -2.2724 2.7078" Properties=species:S:1:pos:R:3 pbc="T T T"
Mg 6.9996 4.5184 0.0000
Pt 2.4042 1.5520 0.0000
Te 4.6499 3.0016 0.0000
```

Values from the calculation:
**Electronic total energy**: -11.7 eV per cell
**Uncorrected formation energy**: -0.918 eV per formula unit

Computed, not measured: a relaxed structure of MgTePt2 at the GGA-PBE level of DFT.

Cell and atoms, written as extended XYZ:
```
4
Lattice="4.7185 0.0000 0.0000 2.3592 4.0863 0.0000 2.3592 1.3621 3.8526" Properties=species:S:1:pos:R:3 pbc="T T T"
Mg 4.7185 2.7242 1.9263
Pt 0.0000 0.0000 0.0000
Pt 2.3592 1.3621 0.9632
Te 7.0777 4.0863 2.8895
```

Values from the calculation:
**Electronic total energy**: -17.3 eV per cell
**Uncorrected formation energy**: -0.447 eV per formula unit
**Energy relative to the lowest polymorph listed for this composition**: 0.303 eV per atom

Computed, not measured: a relaxed structure of MgTePt at the GGA-PBE level of DFT.

Cell and atoms, written as extended XYZ:
```
6
Lattice="4.1723 -2.4089 0.0000 0.0000 4.8177 0.0000 0.0000 0.0000 10.0301" Properties=species:S:1:pos:R:3 pbc="T T T"
Mg 1.3908 2.4089 2.5075
Mg 2.7815 0.0000 7.5226
Te 0.0000 0.0000 2.5075
Te 0.0000 0.0000 7.5226
Pt 0.0000 0.0000 0.0000
Pt 0.0000 0.0000 5.0151
```

Values from the calculation:
**Electronic total energy**: -20.9 eV per cell
**Uncorrected formation energy**: 0.327 eV per formula unit

Computed, not measured: a relaxed structure of MgTePt2 at the GGA-PBE level of DFT.

Cell and atoms, written as extended XYZ:
```
4
Lattice="4.9158 -0.0213 0.0094 1.1129 4.7882 -0.0094 -3.0244 -2.3707 3.0657" Properties=species:S:1:pos:R:3 pbc="T T T"
Mg 0.5514 2.4005 1.5281
Pt 6.0260 4.7648 0.0000
Pt 3.0170 2.3855 0.0000
Te 2.4528 -0.0043 1.5375
```

Values from the calculation:
**Electronic total energy**: -18.2 eV per cell
**Uncorrected formation energy**: -1.358 eV per formula unit
**Energy relative to the lowest polymorph listed for this composition**: 0.076 eV per atom

Computed, not measured: a relaxed structure of MgTePt2 at the GGA-PBE level of DFT.

Cell and atoms, written as extended XYZ:
```
4
Lattice="-3.0856 1.1808 1.6623 -1.0155 -3.5046 0.6045 2.6276 0.0712 4.8268" Properties=species:S:1:pos:R:3 pbc="T T T"
Mg 0.0457 -1.1051 4.9841
Pt 2.5296 0.0685 4.6469
Pt -1.2966 -1.1415 2.5184
Te 1.1891 0.0322 2.1844
```

Values from the calculation:
**Electronic total energy**: -18.3 eV per cell
**Uncorrected formation energy**: -1.483 eV per formula unit
**Energy relative to the lowest polymorph listed for this composition**: 0.044 eV per atom

Computed, not measured: a relaxed structure of MgTePt3 at the GGA-PBE level of DFT.

Cell and atoms, written as extended XYZ:
```
5
Lattice="4.9562 0.0000 0.0000 0.0000 4.9562 0.0000 0.0000 0.0000 4.9562" Properties=species:S:1:pos:R:3 pbc="T T T"
Mg 2.4781 2.4781 2.4781
Te 0.0000 0.0000 0.0000
Pt 0.0000 2.4781 0.0000
Pt 0.0000 0.0000 2.4781
Pt 2.4781 0.0000 0.0000
```

Values from the calculation:
**Electronic total energy**: -20.8 eV per cell
**Uncorrected formation energy**: 2.045 eV per formula unit
**Energy relative to the lowest polymorph listed for this composition**: 0.000 eV per atom

Computed, not measured: a relaxed structure of MgTePt at the GGA-PBE level of DFT.

Cell and atoms, written as extended XYZ:
```
6
Lattice="3.9471 0.0024 -0.0008 1.9715 4.5372 0.0375 -1.9718 -0.6886 8.3654" Properties=species:S:1:pos:R:3 pbc="T T T"
Mg 1.4941 2.0798 5.1773
Mg 1.4917 0.6304 2.2079
Te 3.4651 2.5225 1.0564
Te -0.4795 0.1875 6.3288
Pt 1.4917 3.2625 2.8207
Pt 3.4655 3.9847 4.6019
```

Values from the calculation:
**Electronic total energy**: -25.0 eV per cell
**Uncorrected formation energy**: -1.714 eV per formula unit